The following is a PBE calculation of crystalline AsICl at its relaxed geometry, from Alexandria via LeMat-Bulk.

Output
For the uncorrected formation energy, the calculation gives -24 kJ/mol of formula units. The space group is No. 1.

a = 5.836 Å, b = 6.936 Å, c = 7.771 Å
α = 96.37°, β = 90.39°, γ = 91.51°
Fractional coordinates of all 6 atoms:
As1 0.000 0.000 0.000
As2 0.128 0.041 0.285
I1 0.623 0.277 0.638
I2 0.939 0.378 0.347
Cl1 0.145 0.708 0.949
Cl2 0.381 0.193 0.893